{"formula": "Ta2Mn2Sn", "functional": "GGA-PBE", "state": "optimized geometry", "lattice_angstrom": [[7.066, 0.000, 0.000], [0.000, 7.066, 0.000], [0.000, 0.000, 3.257]], "species": ["Mn", "Mn", "Mn", "Mn", "Sn", "Sn", "Ta", "Ta", "Ta", "Ta"], "frac_coords": [[0.382, 0.882, 0.000], [0.882, 0.618, 0.000], [0.618, 0.118, 0.000], [0.118, 0.382, 0.000], [0.000, 0.000, 0.000], [0.500, 0.500, 0.000], [0.177, 0.677, 0.500], [0.677, 0.823, 0.500], [0.823, 0.323, 0.500], [0.323, 0.177, 0.500]], "space_group": "No. 127"}

{"formula": "TaMn2Sn", "functional": "GGA-PBE", "state": "optimized geometry", "lattice_angstrom": [[-0.582, 2.464, -1.916], [-0.944, -2.721, -3.214], [-4.136, -0.019, 1.231]], "species": ["Mn", "Mn", "Sn", "Ta"], "frac_coords": [[0.000, 0.000, 0.500], [0.000, 0.500, 0.000], [0.500, 0.000, 0.000], [0.500, 0.500, 0.500]], "space_group": "No. 123"}

{"formula": "TaMn3Sn", "functional": "GGA-PBE", "state": "optimized geometry", "lattice_angstrom": [[5.112, 0.000, 0.000], [0.000, 5.112, 0.000], [0.000, 0.000, 5.112]], "species": ["Mn", "Mn", "Mn", "Sn", "Ta"], "frac_coords": [[0.000, 0.500, 0.000], [0.000, 0.000, 0.500], [0.500, 0.000, 0.000], [0.000, 0.000, 0.000], [0.500, 0.500, 0.500]], "space_group": "No. 221"}

{"formula": "TaMnSn2", "functional": "GGA-PBE", "state": "optimized geometry", "lattice_angstrom": [[-1.688, 3.415, 1.683], [-3.797, -1.643, -0.476], [-2.096, -3.198, 9.539]], "species": ["Mn", "Mn", "Sn", "Sn", "Sn", "Sn", "Ta", "Ta"], "frac_coords": [[0.500, 0.500, 0.000], [0.250, 0.750, 0.500], [0.619, 0.125, 0.250], [0.131, 0.625, 0.250], [0.375, 0.381, 0.750], [0.875, 0.869, 0.750], [0.000, 0.000, 0.000], [0.750, 0.250, 0.500]], "space_group": "No. 122"}

{"formula": "TaMn2TcSn", "functional": "GGA-PBE", "state": "optimized geometry", "lattice_angstrom": [[4.396, 0.000, 0.000], [0.000, 4.954, 0.000], [0.000, 0.000, 4.396]], "species": ["Tc", "Mn", "Mn", "Sn", "Ta"], "frac_coords": [[0.000, 0.000, 0.000], [0.000, 0.000, 0.500], [0.500, 0.000, 0.000], [0.000, 0.500, 0.000], [0.500, 0.500, 0.500]], "space_group": "No. 123"}

{"formula": "TbMn6Sn6", "functional": "GGA-PBE", "state": "optimized geometry", "lattice_angstrom": [[5.454, 0.000, 0.000], [-2.727, 4.723, 0.000], [0.000, 0.000, 8.973]], "species": ["Tb", "Mn", "Mn", "Mn", "Mn", "Mn", "Mn", "Sn", "Sn", "Sn", "Sn", "Sn", "Sn"], "frac_coords": [[0.000, 0.000, 0.000], [0.500, 0.500, 0.752], [0.500, 0.500, 0.248], [0.500, 0.000, 0.248], [0.000, 0.500, 0.752], [0.500, 0.000, 0.752], [0.000, 0.500, 0.248], [0.000, 0.000, 0.666], [0.000, 0.000, 0.334], [0.333, 0.667, 0.000], [0.667, 0.333, 0.500], [0.333, 0.667, 0.500], [0.667, 0.333, 0.000]], "space_group": "No. 191"}

{"formula": "MnTc2Sn", "functional": "GGA-PBE", "state": "optimized geometry", "lattice_angstrom": [[-1.605, 2.493, 1.187], [-1.724, 0.794, -3.998], [-3.416, -2.650, 0.946]], "species": ["Mn", "Sn", "Tc", "Tc"], "frac_coords": [[0.500, 0.000, 0.000], [0.500, 0.500, 0.500], [0.000, 0.000, 0.500], [0.000, 0.500, 0.000]], "space_group": "No. 123"}

{"formula": "Mn2TcSn", "functional": "GGA-PBE", "state": "optimized geometry", "lattice_angstrom": [[-1.156, 1.671, -6.773], [4.638, -4.944, -2.011], [-0.248, -3.458, -4.502]], "species": ["Mn", "Mn", "Mn", "Mn", "Sn", "Sn", "Tc", "Tc"], "frac_coords": [[0.593, 0.125, 0.250], [0.157, 0.625, 0.250], [0.375, 0.407, 0.750], [0.875, 0.843, 0.750], [0.000, 0.000, 0.000], [0.750, 0.250, 0.500], [0.500, 0.500, 0.000], [0.250, 0.750, 0.500]], "space_group": "No. 122"}

| no. | ΔE_f (meV per atom) | mass density (g/cm3) | DFT total energy (eV/f.u.) |
| --- | --- | --- | --- |
| 1 | 115 | 12.1 | -45.474 |
| 2 | 9 | 11.5 | -34.159 |
| 3 | 1645 | 5.8 | -35.141 |
| 4 | 570 | 9.2 | -26.746 |
| 5 | 1326 | 8.8 | -37.929 |
| 6 | -134 | 8.6 | -85.401 |
| 7 | 157 | 9.8 | -33.274 |
| 8 | 583 | 8.0 | -30.374 |